DFT (PBE) results for a relaxed structure of GaOsPd2.

Cell and atoms, written as extended XYZ:
```
8
Lattice="-1.870 1.870 9.242 1.870 -1.870 9.242 1.870 1.870 -9.242" Properties=species:S:1:pos:R:3 pbc="T T T"
Ga 0.000 0.000 0.000
Ga 0.000 1.870 4.621
Os 1.870 0.000 4.621
Os 0.000 0.000 9.242
Pd 0.935 -0.932 6.931
Pd 0.937 0.935 2.310
Pd 0.935 2.802 -2.310
Pd 0.932 0.935 11.552
```

## Properties
Its density of states at the Fermi level is 7.13 states/eV per cell. Its space group is I-42d, No. 122. For the formation enthalpy at 0 K, the calculation gives 0.37 eV/atom. As for the size of the total moment: 2.1 μB/cell.